1.
VASP calculation (GGA-PBE) on Pm2NdSm4Dy after structural relaxation.

It has space group C2/c (No. 15), with a = 13.768 Å, b = 13.360 Å, c = 6.914 Å, α = 90.00°, β = 119.94° and γ = 90.00°. The asymmetric unit holds Pm at (0.000, 0.000, 0.000), Pm at (0.250, 0.250, 0.000), Nd at (0.250, 0.250, 0.500), Sm at (0.000, 0.253, 0.000), Sm at (0.248, 0.500, 0.461) and Dy at (0.000, 0.500, 0.000).

As for the energy: -4.33 eV/atom. For the spin magnetization, the calculation gives 0.00 μB per cell. The formation energy from the elements is 38 kJ/mol of atoms. For the density of states at the Fermi level, the calculation gives 79.65 states/eV/cell.

2.
VASP calculation (GGA-PBE) on SrCd2HgO4 after structural relaxation.

It has space group Cmcm (No. 63), with a = 3.405 Å, b = 12.155 Å, c = 12.130 Å, α = 90.00°, β = 90.00° and γ = 90.00°. The asymmetric unit holds Sr at (0.000, 0.174, 0.250), Cd at (0.000, 0.372, 0.021), Hg at (0.000, 0.088, 0.750), O at (0.000, 0.000, 0.000), O at (0.000, 0.234, 0.615) and O at (0.000, 0.469, 0.750).

As for the uncorrected formation energy: -110.99 kJ/mol of atoms. As for the energy: -4.11 eV/atom. For the spin magnetization, the calculation gives 0.00 μB per cell. For the density of states at the Fermi level, the calculation gives 11.80 states/eV/cell.

3.
VASP calculation (GGA-PBE) on Na2H2Se after structural relaxation.

It has space group P4/mbm (No. 127), with a = 7.598 Å, b = 7.598 Å, c = 5.139 Å, α = 90.00°, β = 90.00° and γ = 90.00°. The asymmetric unit holds Na at (0.221, 0.279, 0.000), H at (0.035, 0.535, 0.500) and Se at (0.000, 0.000, 0.000).

As for the energy: -2.98 eV/atom. For the spin magnetization, the calculation gives 0.00 μB per cell. For the density of states at the Fermi level, the calculation gives 0.00 states/eV/cell.

4.
VASP calculation (GGA-PBE) on TaVSb2 after structural relaxation.

It has space group Fm-3m (No. 225), with a = 6.732 Å, b = 6.732 Å, c = 6.732 Å, α = 90.00°, β = 90.00° and γ = 90.00°. The asymmetric unit holds Ta at (0.000, 0.000, 0.000), V at (0.000, 0.000, 0.500) and Sb at (0.250, 0.250, 0.250).

As for the uncorrected formation energy: 18.97 kJ/mol of atoms. As for the energy: -7.11 eV/atom. For the spin magnetization, the calculation gives 0.01 μB per cell. For the density of states at the Fermi level, the calculation gives 11.16 states/eV/cell.

5.
VASP calculation (GGA-PBE) on Tm6MnZn5 after structural relaxation.

It has space group C2/m (No. 12), with a = 15.661 Å, b = 7.053 Å, c = 4.941 Å, α = 90.00°, β = 108.26° and γ = 90.00°. The asymmetric unit holds Tm at (0.000, 0.245, 0.000), Tm at (0.165, 0.248, 0.665), Mn at (0.000, 0.000, 0.500), Zn at (0.000, 0.500, 0.500), Zn at (0.166, 0.000, 0.166) and Zn at (0.166, 0.500, 0.166).

As for the energy: -3.79 eV/atom. For the spin magnetization, the calculation gives 4.29 μB per cell. The formation energy from the elements is -25 kJ/mol of atoms. For the density of states at the Fermi level, the calculation gives 25.66 states/eV/cell.

6.
VASP calculation (GGA-PBE) on Zr3Cu after structural relaxation.

It has space group Pm-3m (No. 221), with a = 4.980 Å, b = 4.980 Å, c = 4.980 Å, α = 90.00°, β = 90.00° and γ = 90.00°. The asymmetric unit holds Zr at (0.000, 0.000, 0.500) and Cu at (0.000, 0.000, 0.000).

As for the energy: -6.21 eV/atom. For the spin magnetization, the calculation gives 0.00 μB per cell. The formation energy from the elements is 118 kJ/mol of atoms. For the density of states at the Fermi level, the calculation gives 6.47 states/eV/cell.

7.
VASP calculation (GGA-PBE) on CsH3Pd after structural relaxation.

It has space group Pmc2_1 (No. 26), with a = 3.616 Å, b = 8.044 Å, c = 5.229 Å, α = 90.00°, β = 90.00° and γ = 90.00°. The asymmetric unit holds Cs at (0.000, 0.174, 0.000), H at (0.000, 0.384, 0.478), H at (0.500, 0.173, 0.540), H at (0.500, 0.430, 0.826) and Pd at (0.500, 0.384, 0.481).

As for the energy: -3.32 eV/atom. For the spin magnetization, the calculation gives 0.00 μB per cell. For the density of states at the Fermi level, the calculation gives 2.25 states/eV/cell.

8.
VASP calculation (GGA-PBE) on PmSmYTh after structural relaxation.

It has space group Cm (No. 8), with a = 6.262 Å, b = 3.609 Å, c = 11.953 Å, α = 90.00°, β = 100.09° and γ = 90.00°. The asymmetric unit holds Pm at (0.000, 0.000, 0.000), Sm at (0.334, 0.500, 0.500), Y at (0.416, 0.000, 0.251) and Th at (0.250, 0.000, 0.752).

As for the energy: -5.80 eV/atom. For the spin magnetization, the calculation gives 0.00 μB per cell. The formation energy from the elements is 4 kJ/mol of atoms. For the density of states at the Fermi level, the calculation gives 11.68 states/eV/cell.

9.
VASP calculation (GGA-PBE) on OsW2Au after structural relaxation.

It has space group P4/mmm (No. 123), with a = 3.926 Å, b = 3.926 Å, c = 4.086 Å, α = 90.00°, β = 90.00° and γ = 90.00°. The asymmetric unit holds Os at (0.000, 0.000, 0.000), W at (0.000, 0.500, 0.500) and Au at (0.500, 0.500, 0.000).

As for the energy: -9.83 eV/atom. For the spin magnetization, the calculation gives 0.00 μB per cell. The formation energy from the elements is 26 kJ/mol of atoms. For the density of states at the Fermi level, the calculation gives 1.89 states/eV/cell.

10.
VASP calculation (GGA-PBE) on Tb2Y3Ho6Mg after structural relaxation.

It has space group C2/m (No. 12), with a = 6.103 Å, b = 10.578 Å, c = 11.665 Å, α = 90.00°, β = 100.12° and γ = 90.00°. The asymmetric unit holds Tb at (0.000, 0.166, 0.000), Y at (0.000, 0.000, 0.500), Y at (0.000, 0.334, 0.500), Ho at (0.248, 0.334, 0.248), Ho at (0.249, 0.000, 0.249) and Mg at (0.000, 0.500, 0.000).

As for the energy: -4.78 eV/atom. For the spin magnetization, the calculation gives 0.00 μB per cell. The formation energy from the elements is 3 kJ/mol of atoms. For the density of states at the Fermi level, the calculation gives 35.15 states/eV/cell.

11.
VASP calculation (GGA-PBE) on PaTl2Te6 after structural relaxation.

It has space group Amm2 (No. 38), with a = 4.278 Å, b = 17.412 Å, c = 8.466 Å, α = 90.00°, β = 90.00° and γ = 90.00°. The asymmetric unit holds Pa at (0.000, 0.000, 0.000), Tl at (0.500, 0.181, 0.380), Te at (0.000, 0.000, 0.647), Te at (0.000, 0.177, 0.077), Te at (0.500, 0.000, 0.254) and Te at (0.500, 0.108, 0.818).

As for the uncorrected formation energy: -38.79 kJ/mol of atoms. As for the energy: -4.08 eV/atom. For the spin magnetization, the calculation gives 0.00 μB per cell. For the density of states at the Fermi level, the calculation gives 11.31 states/eV/cell.